Li6Zn5In (PBE, optimized geometry); magnetization = 0.00 μB per cell; V = 16.137 Å³ per atom; density of states at the Fermi level = 3.48 states/eV/f.u.; symmetry = No. 12; uncorrected energy = -1.88 eV per atom; ΔE_f = -161 meV/atom
1.0
-2.445 -0.285 2.966
-2.270 -5.354 -4.812
6.573 -2.487 2.753
Zn Li In
5 6 1
Direct
0.000 0.335 0.665
0.500 0.820 0.180
0.000 0.665 0.335
0.500 0.180 0.820
0.500 0.500 0.500
0.242 0.741 0.741
0.251 0.419 0.083
0.251 0.083 0.419
0.749 0.581 0.917
0.749 0.917 0.581
0.758 0.259 0.259
0.000 0.000 0.000

***

Li7ZnIn3 (PBE, optimized geometry); magnetization = 0.00 μB per cell; V = 19.426 Å³ per atom; density of states at the Fermi level = 3.24 states/eV/f.u.; symmetry = No. 63; uncorrected energy = -2.25 eV per atom; ΔE_f = -166 meV/atom
1.0
-1.768 -2.270 0.768
5.696 -4.893 -7.123
9.156 -3.774 9.914
Li In Zn
14 6 2
Direct
0.339 0.678 0.108
0.661 0.322 0.608
0.339 0.678 0.392
0.703 0.406 0.074
0.481 0.963 0.135
0.519 0.037 0.865
0.297 0.594 0.574
0.703 0.406 0.426
0.297 0.594 0.926
0.481 0.963 0.365
0.519 0.037 0.635
0.661 0.322 0.892
0.610 0.219 0.250
0.390 0.781 0.750
0.082 0.163 0.467
0.760 0.520 0.250
0.240 0.480 0.750
0.918 0.837 0.967
0.082 0.163 0.033
0.918 0.837 0.533
0.100 0.200 0.750
0.900 0.800 0.250

***

LiZnIn4 (PBE, optimized geometry); polymorph energy (0 for the lowest one) = 6.5 kJ/mol of atoms; magnetization = 0.00 μB per cell; V = 25.694 Å³ per atom; density of states at the Fermi level = 2.05 states/eV/f.u.; symmetry = No. 2; uncorrected energy = -2.35 eV per atom; ΔE_f = 11 meV/atom
1.0
-1.660 0.860 5.218
3.422 -3.054 -0.376
2.656 6.212 2.665
Zn In Li
1 4 1
Direct
0.000 0.500 0.500
0.864 0.255 0.138
0.136 0.745 0.862
0.747 0.976 0.697
0.253 0.024 0.303
0.500 0.500 0.000

***

LiZn2In (PBE, optimized geometry); magnetization = 0.00 μB per cell; V = 18.991 Å³ per atom; density of states at the Fermi level = 0.79 states/eV/f.u.; symmetry = No. 166; uncorrected energy = -1.79 eV per atom; ΔE_f = 12 meV/atom
1.0
9.407 -0.006 -0.003
8.904 3.035 -0.003
8.904 1.473 2.653
Zn Li In
2 1 1
Direct
0.006 0.006 0.006
0.494 0.494 0.494
0.750 0.750 0.750
0.250 0.250 0.250

***

LiZn2In (PBE, optimized geometry); magnetization = 0.00 μB per cell; V = 17.600 Å³ per atom; density of states at the Fermi level = 1.14 states/eV/f.u.; symmetry = No. 139; uncorrected energy = -1.90 eV per atom; ΔE_f = -101 meV/atom
1.0
5.015 -0.041 -0.026
1.598 4.754 0.026
-3.290 -2.380 2.944
Li Zn In
1 2 1
Direct
0.750 0.250 0.500
0.000 0.000 0.000
0.500 0.500 0.000
0.250 0.750 0.500

***

Li4Zn2In (PBE, optimized geometry); polymorph energy (0 for the lowest one) = 13.8 kJ/mol of atoms; magnetization = 0.00 μB per cell; V = 18.931 Å³ per atom; density of states at the Fermi level = 1.58 states/eV/f.u.; symmetry = No. 139; uncorrected energy = -1.93 eV per atom; ΔE_f = -86 meV/atom
1.0
6.667 0.000 0.000
3.333 4.458 0.000
3.333 0.000 4.458
In Zn Li
1 2 4
Direct
0.000 0.000 0.000
0.500 0.500 0.500
0.000 0.500 0.500
0.000 0.500 0.000
0.500 0.000 0.500
0.500 0.500 0.000
0.000 0.000 0.500